Entry from Alexandria: a relaxed structure of Rb3Ce3YTe8 (PBE).

```
Rb3Ce3YTe8
1.0
4.574 2.641 8.683
-4.574 2.641 8.683
0.000 -5.282 8.683
Rb Ce Y Te
3 3 1 8
Direct
0.000 0.500 0.500
0.500 0.000 0.500
0.500 0.500 0.000
0.000 0.000 0.500
0.000 0.500 0.000
0.500 0.000 0.000
0.500 0.500 0.500
0.234 0.234 0.234
0.236 0.731 0.731
0.269 0.269 0.764
0.269 0.764 0.269
0.731 0.236 0.731
0.731 0.731 0.236
0.764 0.269 0.269
0.766 0.766 0.766
```

Spin magnetization   2.0 μB per formula unit
E_tot   -4.8261 eV/atom
Fermi-level density of states   13.349 states/eV/cell
Energy relative to the elements, uncorrected   -1339 meV/atom

Entry from Alexandria: a relaxed structure of Rb2CeYTe4 (PBE).

```
Rb2CeYTe4
1.0
7.995 0.000 0.000
0.000 4.614 0.000
-2.660 0.000 8.545
Rb Ce Y Te
2 1 1 4
Direct
0.000 0.000 0.000
0.500 0.500 0.000
0.000 0.500 0.500
0.500 0.000 0.500
0.242 0.000 0.703
0.274 0.500 0.300
0.726 0.500 0.700
0.758 0.000 0.297
```

Spin magnetization   1.0 μB per formula unit
E_tot   -4.7279 eV/atom
Fermi-level density of states   6.124 states/eV/cell
Energy relative to the elements, uncorrected   -1365 meV/atom

Entry from Alexandria: a relaxed structure of Rb4Ce3ZnTe8 (PBE).

```
Rb4Ce3ZnTe8
1.0
7.721 -4.719 0.000
7.721 4.719 0.000
-0.335 0.000 8.713
Rb Ce Zn Te
4 3 1 8
Direct
0.000 0.000 0.000
0.000 0.500 0.000
0.500 0.000 0.000
0.500 0.500 0.000
0.000 0.000 0.500
0.000 0.500 0.500
0.500 0.000 0.500
0.500 0.500 0.500
0.160 0.679 0.704
0.174 0.174 0.704
0.321 0.840 0.296
0.352 0.352 0.324
0.648 0.648 0.676
0.679 0.160 0.704
0.826 0.826 0.296
0.840 0.321 0.296
```

Spin magnetization   2.0 μB per formula unit
E_tot   -4.1079 eV/atom
Fermi-level density of states   13.227 states/eV/cell
Energy relative to the elements, uncorrected   -1103 meV/atom

Entry from Alexandria: a relaxed structure of RbCeTl2 (PBE).

```
RbCeTl2
1.0
3.988 0.000 0.000
0.000 3.988 0.000
0.000 0.000 9.039
Rb Ce Tl
1 1 2
Direct
0.000 0.000 0.000
0.000 0.000 0.500
0.500 0.500 0.299
0.500 0.500 0.701
```

Spin magnetization   1.2 μB per formula unit
Energy of formation   -0.1016 eV per atom
E_tot   -3.0101 eV/atom
Fermi-level density of states   8.200 states/eV/cell
Energy above the most stable polymorph in this dataset   0 meV/atom

Entry from Alexandria: a relaxed structure of RbCeTl2 (PBE).

```
RbCeTl2
1.0
1.901 1.098 11.358
-1.901 1.098 11.358
0.000 -2.195 11.358
Rb Ce Tl
1 1 2
Direct
0.000 0.000 0.000
0.500 0.500 0.500
0.243 0.243 0.243
0.757 0.757 0.757
```

Spin magnetization   1.4 μB per formula unit
Energy of formation   0.0542 eV per atom
E_tot   -2.8543 eV/atom
Fermi-level density of states   7.363 states/eV/cell
Energy above the most stable polymorph in this dataset   156 meV/atom

Entry from Alexandria: a relaxed structure of CeRe3 (PBE).

```
CeRe3
1.0
2.920 0.000 0.000
0.000 4.466 0.000
0.000 0.000 5.327
Ce Re
1 3
Direct
0.000 0.000 0.000
0.000 0.500 0.657
0.500 0.000 0.498
0.500 0.500 0.211
```

Spin magnetization   0.0 μB per formula unit
Energy of formation   0.4679 eV per atom
E_tot   -10.3517 eV/atom
Fermi-level density of states   4.572 states/eV/cell
Energy above the most stable polymorph in this dataset   430 meV/atom

Entry from Alexandria: a relaxed structure of Ce4Re (PBE).

```
Ce4Re
1.0
5.443 0.000 0.000
0.000 5.443 0.000
0.000 0.000 5.443
Ce Re
4 1
Direct
0.000 0.000 0.000
0.000 0.500 0.500
0.500 0.000 0.500
0.500 0.500 0.000
0.500 0.500 0.500
```

Spin magnetization   3.0 μB per formula unit
Energy of formation   0.3135 eV per atom
E_tot   -6.9233 eV/atom
Fermi-level density of states   17.212 states/eV/cell

Entry from Alexandria: a relaxed structure of CeRe3 (PBE).

```
CeRe3
1.0
4.617 -2.673 0.000
4.617 2.673 0.000
-2.698 0.000 9.105
Ce Re
3 9
Direct
0.000 0.000 0.000
0.143 0.143 0.438
0.857 0.857 0.562
0.074 0.585 0.243
0.354 0.354 0.005
0.415 0.926 0.757
0.416 0.416 0.744
0.500 0.500 0.500
0.584 0.584 0.256
0.585 0.074 0.243
0.646 0.646 0.995
0.926 0.415 0.757
```

Spin magnetization   0.0 μB per formula unit
Energy of formation   0.0383 eV per atom
E_tot   -10.7813 eV/atom
Fermi-level density of states   16.800 states/eV/cell
Energy above the most stable polymorph in this dataset   0 meV/atom

Entry from Alexandria: a relaxed structure of Ce7Re3 (PBE).

```
Ce7Re3
1.0
9.747 0.000 0.000
-4.874 8.441 0.000
0.000 0.000 6.079
Ce Re
14 6
Direct
0.072 0.536 0.000
0.126 0.251 0.724
0.126 0.874 0.724
0.251 0.126 0.224
0.333 0.667 0.490
0.464 0.536 0.000
0.464 0.928 0.000
0.536 0.072 0.500
0.536 0.464 0.500
0.667 0.333 0.990
0.749 0.874 0.724
0.874 0.126 0.224
0.874 0.749 0.224
0.928 0.464 0.500
0.185 0.370 0.264
0.185 0.815 0.264
0.370 0.185 0.764
0.630 0.815 0.264
0.815 0.185 0.764
0.815 0.630 0.764
```

Spin magnetization   0.2 μB per formula unit
Energy of formation   0.0667 eV per atom
E_tot   -7.8215 eV/atom
Fermi-level density of states   44.657 states/eV/cell

Entry from Alexandria: a relaxed structure of Ce2ReRh (PBE).

```
Ce2ReRh
1.0
3.471 0.000 0.000
0.000 3.471 0.000
0.000 0.000 6.950
Ce Re Rh
2 1 1
Direct
0.000 0.000 0.250
0.000 0.000 0.750
0.500 0.500 0.000
0.500 0.500 0.500
```

Spin magnetization   0.0 μB per formula unit
Energy of formation   -0.2346 eV per atom
E_tot   -8.1514 eV/atom
Fermi-level density of states   3.798 states/eV/cell

Entry from Alexandria: a relaxed structure of Ce2ReRh (PBE).

```
Ce2ReRh
1.0
1.491 0.861 10.123
-1.491 0.861 10.123
0.000 -1.722 10.123
Ce Re Rh
2 1 1
Direct
0.086 0.086 0.086
0.914 0.914 0.914
0.000 0.000 0.000
0.500 0.500 0.500
```

Spin magnetization   0.0 μB per formula unit
Energy of formation   0.2713 eV per atom
E_tot   -7.6456 eV/atom
Fermi-level density of states   6.055 states/eV/cell

Entry from Alexandria: a relaxed structure of CeReRu (PBE).

```
CeReRu
1.0
-1.476 1.476 6.276
1.476 -1.476 6.276
1.476 1.476 -6.276
Ce Re Ru
1 1 1
Direct
0.000 0.000 0.000
0.310 0.310 0.000
0.689 0.689 0.000
```

Spin magnetization   0.0 μB per formula unit
Energy of formation   0.0055 eV per atom
E_tot   -9.2137 eV/atom
Fermi-level density of states   4.006 states/eV/cell
Energy above the most stable polymorph in this dataset   0 meV/atom

Entry from Alexandria: a relaxed structure of CeReRu (PBE).

```
CeReRu
1.0
6.195 0.000 0.000
0.000 6.195 0.000
0.000 0.000 7.500
Ce Re Ru
4 4 4
Direct
0.235 0.235 0.000
0.265 0.735 0.250
0.735 0.265 0.750
0.765 0.765 0.500
0.064 0.936 0.750
0.436 0.436 0.500
0.564 0.564 0.000
0.936 0.064 0.250
0.158 0.158 0.500
0.342 0.658 0.750
0.658 0.342 0.250
0.842 0.842 0.000
```

Spin magnetization   0.1 μB per formula unit
Energy of formation   0.5390 eV per atom
E_tot   -8.6803 eV/atom
Fermi-level density of states   12.294 states/eV/cell
Energy above the most stable polymorph in this dataset   533 meV/atom

Entry from Alexandria: a relaxed structure of Ce2Re3Ru (PBE).

```
Ce2Re3Ru
1.0
2.617 1.511 4.801
-2.617 1.511 4.801
0.000 -3.022 4.801
Ce Re Ru
2 3 1
Direct
0.128 0.128 0.128
0.872 0.872 0.872
0.000 0.500 0.500
0.500 0.000 0.500
0.500 0.500 0.000
0.500 0.500 0.500
```

Spin magnetization   0.0 μB per formula unit
Energy of formation   -0.1376 eV per atom
E_tot   -9.8856 eV/atom
Fermi-level density of states   10.000 states/eV/cell

Entry from Alexandria: a relaxed structure of CeReS4 (PBE).

```
CeReS4
1.0
2.321 -9.022 0.000
2.321 9.022 0.000
0.000 0.000 6.218
Ce Re S
2 2 8
Direct
0.166 0.834 0.500
0.834 0.166 0.000
0.419 0.581 0.616
0.581 0.419 0.116
0.118 0.882 0.083
0.293 0.707 0.769
0.352 0.648 0.262
0.473 0.527 0.936
0.527 0.473 0.436
0.648 0.352 0.762
0.707 0.293 0.269
0.882 0.118 0.583
```

Spin magnetization   0.4 μB per formula unit
E_tot   -6.6485 eV/atom
Fermi-level density of states   10.785 states/eV/cell
Energy relative to the elements, uncorrected   -833 meV/atom

Entry from Alexandria: a relaxed structure of CeReS2 (PBE).

```
CeReS2
1.0
1.567 0.904 8.954
-1.567 0.904 8.954
0.000 -1.809 8.954
Ce Re S
1 1 2
Direct
0.000 0.000 0.000
0.500 0.500 0.500
0.106 0.106 0.106
0.894 0.894 0.894
```

Spin magnetization   0.5 μB per formula unit
E_tot   -6.8945 eV/atom
Fermi-level density of states   5.167 states/eV/cell
Energy relative to the elements, uncorrected   -235 meV/atom

Entry from Alexandria: a relaxed structure of CeScRe4 (PBE).

```
CeScRe4
1.0
0.000 3.814 3.814
3.814 0.000 3.814
3.814 3.814 0.000
Ce Sc Re
1 1 4
Direct
0.000 0.000 0.000
0.750 0.750 0.750
0.375 0.375 0.375
0.375 0.375 0.874
0.375 0.874 0.375
0.874 0.375 0.375
```

Spin magnetization   0.0 μB per formula unit
Energy of formation   -0.1033 eV per atom
E_tot   -10.4462 eV/atom
Fermi-level density of states   12.241 states/eV/cell

Entry from Alexandria: a relaxed structure of CeSc2Re (PBE).

```
CeSc2Re
1.0
3.239 0.000 0.000
0.000 3.239 0.000
0.000 0.000 8.719
Ce Sc Re
1 2 1
Direct
0.000 0.000 0.000
0.500 0.500 0.318
0.500 0.500 0.682
0.000 0.000 0.500
```

Spin magnetization   1.3 μB per formula unit
Energy of formation   0.0453 eV per atom
E_tot   -7.7160 eV/atom
Fermi-level density of states   9.535 states/eV/cell

Entry from Alexandria: a relaxed structure of Ce2ReSe6 (PBE).

```
Ce2ReSe6
1.0
6.323 0.000 0.000
0.000 7.509 0.000
-6.296 0.000 9.055
Ce Re Se
4 2 12
Direct
0.199 0.125 0.250
0.199 0.375 0.750
0.801 0.625 0.250
0.801 0.875 0.750
0.000 0.000 0.500
0.000 0.500 0.000
0.097 0.194 0.947
0.097 0.306 0.447
0.285 0.673 0.943
0.285 0.827 0.443
0.385 0.021 0.765
0.385 0.479 0.265
0.615 0.521 0.735
0.615 0.979 0.235
0.715 0.173 0.557
0.715 0.327 0.057
0.903 0.694 0.553
0.903 0.806 0.053
```

Spin magnetization   1.7 μB per formula unit
E_tot   -6.0900 eV/atom
Fermi-level density of states   11.781 states/eV/cell
Energy relative to the elements, uncorrected   -1065 meV/atom

Entry from Alexandria: a relaxed structure of CeRe3Si3 (PBE).

```
CeRe3Si3
1.0
6.636 0.000 0.000
0.000 6.636 0.000
0.000 0.000 6.636
Ce Re Si
2 6 6
Direct
0.000 0.000 0.000
0.500 0.500 0.500
0.000 0.250 0.500
0.000 0.750 0.500
0.250 0.500 0.000
0.500 0.000 0.250
0.500 0.000 0.750
0.750 0.500 0.000
0.000 0.500 0.250
0.000 0.500 0.750
0.250 0.000 0.500
0.500 0.250 0.000
0.500 0.750 0.000
0.750 0.000 0.500
```

Spin magnetization   0.5 μB per formula unit
E_tot   -8.1262 eV/atom
Fermi-level density of states   16.556 states/eV/cell
Energy relative to the elements, uncorrected   381 meV/atom

Entry from Alexandria: a relaxed structure of Ce3Re3Si8 (PBE).

```
Ce3Re3Si8
1.0
-2.095 4.928 5.841
2.095 -4.928 5.841
2.095 4.928 -5.841
Ce Re Si
3 3 8
Direct
0.000 0.000 0.000
0.319 0.319 0.000
0.681 0.681 0.000
0.278 0.500 0.778
0.500 0.000 0.500
0.722 0.500 0.222
0.036 0.668 0.368
0.160 0.877 0.283
0.300 0.668 0.632
0.407 0.123 0.283
0.593 0.877 0.717
0.700 0.332 0.368
0.840 0.123 0.717
0.964 0.332 0.632
```

Spin magnetization   0.0 μB per formula unit
E_tot   -7.4518 eV/atom
Fermi-level density of states   10.141 states/eV/cell
Energy relative to the elements, uncorrected   -414 meV/atom

Entry from Alexandria: a relaxed structure of CeReSi (PBE).

```
CeReSi
1.0
4.256 0.000 0.000
-2.128 3.686 0.000
0.000 0.000 3.860
Ce Re Si
1 1 1
Direct
0.000 0.000 0.000
0.667 0.333 0.500
0.333 0.667 0.500
```

Spin magnetization   0.0 μB per formula unit
E_tot   -8.2137 eV/atom
Fermi-level density of states   3.852 states/eV/cell
Energy relative to the elements, uncorrected   -279 meV/atom

Entry from Alexandria: a relaxed structure of CeReSi3 (PBE).

```
CeReSi3
1.0
-2.102 2.102 5.131
2.102 -2.102 5.131
2.102 2.102 -5.131
Ce Re Si
1 1 3
Direct
0.000 0.000 0.000
0.663 0.663 0.000
0.275 0.775 0.500
0.432 0.432 0.000
0.775 0.275 0.500
```

Spin magnetization   0.0 μB per formula unit
E_tot   -7.3994 eV/atom
Fermi-level density of states   3.496 states/eV/cell
Energy relative to the elements, uncorrected   -469 meV/atom